No. 1
A relaxed BeInOF2 crystal, computed with GGA-PBE.

The structure in CIF format:
```
data_BeInOF2
_symmetry_space_group_name_H-M 'P 1'
_symmetry_Int_Tables_number 1
_cell_length_a 4.1858
_cell_length_b 4.1858
_cell_length_c 4.1805
_cell_angle_alpha 90.00
_cell_angle_beta 90.00
_cell_angle_gamma 90.00
loop_
_symmetry_equiv_pos_as_xyz
'x,y,z'
loop_
_atom_site_label
_atom_site_fract_x
_atom_site_fract_y
_atom_site_fract_z
_atom_site_occupancy
O1 0.0000 0.0000 0.5000 1
Be1 0.5000 0.5000 0.5000 1
In1 0.0000 0.0000 0.0000 1
F1 0.0000 0.5000 0.0000 1
F2 0.5000 0.0000 0.0000 1
```

Values from the calculation:
The calculation puts the total energy at -4.016 eV/atom. The symmetry is No. 123. As for the magnetization: 0.8 μB per cell. As for the uncorrected formation energy: -983 meV per atom.

***

No. 2
A relaxed BeInOF2 crystal, computed with GGA-PBE.

The structure in CIF format:
```
data_BeInOF2
_symmetry_space_group_name_H-M 'P 1'
_symmetry_Int_Tables_number 1
_cell_length_a 3.4166
_cell_length_b 3.4166
_cell_length_c 4.5820
_cell_angle_alpha 90.00
_cell_angle_beta 90.00
_cell_angle_gamma 90.00
loop_
_symmetry_equiv_pos_as_xyz
'x,y,z'
loop_
_atom_site_label
_atom_site_fract_x
_atom_site_fract_y
_atom_site_fract_z
_atom_site_occupancy
F1 0.5000 0.0000 0.0000 1
F2 0.0000 0.5000 0.0000 1
In1 0.5000 0.5000 0.5000 1
O1 0.0000 0.0000 0.5000 1
Be1 0.0000 0.0000 0.0000 1
```

Values from the calculation:
The calculation puts the total energy at -5.008 eV/atom. The symmetry is No. 123. As for the magnetization: 0.0 μB per cell. As for the uncorrected formation energy: -1975 meV per atom.

***

No. 3
A relaxed BeInPd2F crystal, computed with GGA-PBE.

The structure in CIF format:
```
data_BeInPd2F
_symmetry_space_group_name_H-M 'P 1'
_symmetry_Int_Tables_number 1
_cell_length_a 5.0018
_cell_length_b 4.1850
_cell_length_c 5.0018
_cell_angle_alpha 90.00
_cell_angle_beta 90.00
_cell_angle_gamma 90.00
loop_
_symmetry_equiv_pos_as_xyz
'x,y,z'
loop_
_atom_site_label
_atom_site_fract_x
_atom_site_fract_y
_atom_site_fract_z
_atom_site_occupancy
Be1 0.5000 0.5000 0.5000 1
Pd1 0.5000 0.0000 0.0000 1
Pd2 0.0000 0.0000 0.5000 1
In1 0.0000 0.0000 0.0000 1
F1 0.0000 0.5000 0.0000 1
```

Values from the calculation:
The calculation puts the total energy at -3.438 eV/atom. The symmetry is No. 123. As for the magnetization: 0.0 μB per cell. As for the uncorrected formation energy: 306 meV per atom.

***

No. 4
A relaxed Rb2BeInF6 crystal, computed with GGA-PBE.

The structure in CIF format:
```
data_Rb2BeInF6
_symmetry_space_group_name_H-M 'P 1'
_symmetry_Int_Tables_number 1
_cell_length_a 5.9258
_cell_length_b 5.9258
_cell_length_c 5.9286
_cell_angle_alpha 60.02
_cell_angle_beta 60.02
_cell_angle_gamma 90.00
loop_
_symmetry_equiv_pos_as_xyz
'x,y,z'
loop_
_atom_site_label
_atom_site_fract_x
_atom_site_fract_y
_atom_site_fract_z
_atom_site_occupancy
F1 0.2810 0.2810 0.4381 1
F2 0.2813 0.7187 0.0000 1
F3 0.7187 0.2813 0.0000 1
F4 0.7190 0.7190 0.5619 1
F5 0.7187 0.7187 0.0000 1
F6 0.2813 0.2813 0.0000 1
Be1 0.5000 0.5000 0.0000 1
Rb1 0.2500 0.7500 0.5000 1
Rb2 0.7500 0.2500 0.5000 1
In1 0.0000 0.0000 0.0000 1
```

Values from the calculation:
The calculation puts the total energy at -4.533 eV/atom. The symmetry is No. 225. As for the magnetization: 0.0 μB per cell. As for the uncorrected formation energy: -2570 meV per atom.

***

No. 5
A relaxed RbBeInF4 crystal, computed with GGA-PBE.

The structure in CIF format:
```
data_RbBeInF4
_symmetry_space_group_name_H-M 'P 1'
_symmetry_Int_Tables_number 1
_cell_length_a 6.0855
_cell_length_b 5.8913
_cell_length_c 8.1790
_cell_angle_alpha 90.00
_cell_angle_beta 118.02
_cell_angle_gamma 90.00
loop_
_symmetry_equiv_pos_as_xyz
'x,y,z'
loop_
_atom_site_label
_atom_site_fract_x
_atom_site_fract_y
_atom_site_fract_z
_atom_site_occupancy
F1 0.1013 0.5331 0.2224 1
F2 0.1013 0.9669 0.2224 1
F3 0.4417 0.7500 0.1841 1
F4 0.5551 0.2500 0.5010 1
F5 0.8987 0.4669 0.7776 1
F6 0.4449 0.7500 0.4990 1
F7 0.5583 0.2500 0.8159 1
F8 0.8987 0.0331 0.7776 1
Be1 0.7276 0.2500 0.7174 1
Be2 0.2724 0.7500 0.2826 1
Rb1 0.3365 0.2500 0.0699 1
Rb2 0.6635 0.7500 0.9301 1
In1 0.8593 0.7500 0.5389 1
In2 0.1407 0.2500 0.4611 1
```

Values from the calculation:
The calculation puts the total energy at -4.849 eV/atom. The symmetry is No. 11. As for the magnetization: 0.0 μB per cell. As for the uncorrected formation energy: -2718 meV per atom.

***

No. 6
A relaxed BeInRhF2 crystal, computed with GGA-PBE.

The structure in CIF format:
```
data_BeInRhF2
_symmetry_space_group_name_H-M 'P 1'
_symmetry_Int_Tables_number 1
_cell_length_a 4.0356
_cell_length_b 5.4951
_cell_length_c 4.0356
_cell_angle_alpha 90.00
_cell_angle_beta 90.00
_cell_angle_gamma 90.00
loop_
_symmetry_equiv_pos_as_xyz
'x,y,z'
loop_
_atom_site_label
_atom_site_fract_x
_atom_site_fract_y
_atom_site_fract_z
_atom_site_occupancy
Be1 0.5000 0.5000 0.5000 1
F1 0.0000 0.0000 0.5000 1
F2 0.5000 0.0000 0.0000 1
In1 0.0000 0.5000 0.0000 1
Rh1 0.0000 0.0000 0.0000 1
```

Values from the calculation:
The calculation puts the total energy at -3.819 eV/atom. The symmetry is No. 123. As for the magnetization: 0.0 μB per cell. As for the uncorrected formation energy: -307 meV per atom.

***

No. 7
A relaxed TaBeInF2 crystal, computed with GGA-PBE.

The structure in CIF format:
```
data_TaBeInF2
_symmetry_space_group_name_H-M 'P 1'
_symmetry_Int_Tables_number 1
_cell_length_a 4.0548
_cell_length_b 6.2298
_cell_length_c 4.0548
_cell_angle_alpha 90.00
_cell_angle_beta 90.00
_cell_angle_gamma 90.00
loop_
_symmetry_equiv_pos_as_xyz
'x,y,z'
loop_
_atom_site_label
_atom_site_fract_x
_atom_site_fract_y
_atom_site_fract_z
_atom_site_occupancy
Be1 0.5000 0.5000 0.5000 1
F1 0.5000 0.0000 0.0000 1
F2 0.0000 0.0000 0.5000 1
Ta1 0.0000 0.5000 0.0000 1
In1 0.0000 0.0000 0.0000 1
```

Values from the calculation:
The calculation puts the total energy at -4.365 eV/atom. The symmetry is No. 123. As for the magnetization: 1.9 μB per cell. As for the uncorrected formation energy: 47 meV per atom.